A plane-wave DFT calculation with PBE was carried out for a relaxed HfZrSb2 crystal.

Cell: 5.158 5.158 3.375 Å, 90.00 90.00 90.00°
Fractional coordinates of all 4 atoms:
Hf  0.000  0.000  0.000
Zr  0.500  0.500  0.000
Sb  0.000  0.500  0.500
Sb  0.500  0.000  0.500

- Formation energy without anion corrections: -409 meV/atom
- E above lowest polymorph: 80 meV/atom
- SG: P4/mmm